No. 1
Here is a relaxed Tb4Pm11Y9 crystal from Alexandria via LeMat-Bulk. Energies are from GGA-PBE.

Cell lengths 15.384, 15.384, 3.690 Å; angles 90.00, 90.00, 113.00 degrees
Fractional positions:
Tb  0.055  0.257  0.000
Tb  0.257  0.055  0.000
Tb  0.743  0.945  0.000
Tb  0.945  0.743  0.000
Pm  0.093  0.455  0.500
Pm  0.132  0.868  0.500
Pm  0.208  0.208  0.500
Pm  0.340  0.660  0.500
Pm  0.455  0.093  0.500
Pm  0.500  0.500  0.500
Pm  0.545  0.907  0.500
Pm  0.660  0.340  0.500
Pm  0.792  0.792  0.500
Pm  0.868  0.132  0.500
Pm  0.907  0.545  0.500
Y  0.000  0.000  0.000
Y  0.132  0.664  0.000
Y  0.286  0.433  0.000
Y  0.336  0.868  0.000
Y  0.433  0.286  0.000
Y  0.567  0.714  0.000
Y  0.664  0.132  0.000
Y  0.714  0.567  0.000
Y  0.868  0.336  0.000

For the formation energy, the calculation gives 0.048 eV per atom. For the density of states at the Fermi level, the calculation gives 32.30 states/eV/f.u.

No. 2
Here is a relaxed Er2Mg2Pd3 crystal from Alexandria via LeMat-Bulk. Energies are from GGA-PBE.

Cell lengths 4.528, 5.164, 6.934 Å; angles 96.94, 108.87, 90.12 degrees
Fractional positions:
Er  0.141  0.133  0.279
Er  0.859  0.867  0.721
Mg  0.391  0.367  0.782
Mg  0.609  0.633  0.218
Pd  0.000  0.500  0.000
Pd  0.227  0.668  0.456
Pd  0.773  0.332  0.544

For the formation energy, the calculation gives -0.672 eV per atom. For the excess energy over the best structure of this formula in the dataset, the calculation gives 70.0 meV per atom. For the density of states at the Fermi level, the calculation gives 2.99 states/eV/f.u.

No. 3
Here is a relaxed Ba3AcPa2O9 crystal from Alexandria via LeMat-Bulk. Energies are from GGA-PBE.

Cell lengths 6.413, 6.413, 8.170 Å; angles 90.00, 90.00, 120.00 degrees
Fractional positions:
Ba  0.000  0.000  0.000
Ba  0.333  0.667  0.713
Ba  0.667  0.333  0.287
Ac  0.000  0.000  0.500
Pa  0.333  0.667  0.166
Pa  0.667  0.333  0.834
O  0.000  0.500  0.000
O  0.168  0.337  0.305
O  0.168  0.832  0.305
O  0.337  0.168  0.695
O  0.500  0.000  0.000
O  0.500  0.500  0.000
O  0.663  0.832  0.305
O  0.832  0.168  0.695
O  0.832  0.663  0.695

The uncorrected formation energy comes out at -3169 meV/atom. For the density of states at the Fermi level, the calculation gives 6.33 states/eV/f.u.

No. 4
Here is a relaxed Rb2MoIBr5 crystal from Alexandria via LeMat-Bulk. Energies are from GGA-PBE.

Cell lengths 7.723, 7.723, 7.723 Å; angles 120.10, 120.10, 89.83 degrees
Fractional positions:
Rb  0.000  0.500  0.500
Rb  0.500  0.000  0.500
Mo  0.250  0.250  0.000
I  0.996  0.996  0.000
Br  0.014  0.014  0.530
Br  0.014  0.484  0.000
Br  0.484  0.014  0.000
Br  0.484  0.484  0.470
Br  0.485  0.485  0.000

The uncorrected formation energy comes out at -1043 meV/atom. For the density of states at the Fermi level, the calculation gives 7.74 states/eV/f.u.

No. 5
Here is a relaxed Y2LuCd crystal from Alexandria via LeMat-Bulk. Energies are from GGA-PBE.

Cell lengths 3.581, 3.581, 9.003 Å; angles 90.00, 90.00, 90.00 degrees
Fractional positions:
Y  0.000  0.000  0.230
Y  0.000  0.000  0.770
Lu  0.500  0.500  0.500
Cd  0.500  0.500  0.000

For the formation energy, the calculation gives -0.146 eV per atom. For the excess energy over the best structure of this formula in the dataset, the calculation gives 0.0 meV per atom. For the density of states at the Fermi level, the calculation gives 5.57 states/eV/f.u.

No. 6
Here is a relaxed ReTcBr2 crystal from Alexandria via LeMat-Bulk. Energies are from GGA-PBE.

Cell lengths 3.234, 3.030, 8.882 Å; angles 90.00, 90.11, 90.00 degrees
Fractional positions:
Re  0.000  0.000  0.000
Tc  0.501  0.500  0.160
Br  0.503  0.000  0.393
Br  0.998  0.500  0.770

The uncorrected formation energy comes out at 197 meV/atom. For the excess energy over the best structure of this formula in the dataset, the calculation gives 0.0 meV per atom. For the density of states at the Fermi level, the calculation gives 4.57 states/eV/f.u.

No. 7
Here is a relaxed La5TbIn6 crystal from Alexandria via LeMat-Bulk. Energies are from GGA-PBE.

Cell lengths 9.623, 9.623, 5.552 Å; angles 106.75, 106.75, 120.24 degrees
Fractional positions:
La  0.000  0.000  0.000
La  0.163  0.837  0.500
La  0.325  0.675  0.000
La  0.675  0.325  0.000
La  0.837  0.163  0.500
Tb  0.500  0.500  0.500
In  0.099  0.422  0.260
In  0.270  0.270  0.770
In  0.422  0.099  0.260
In  0.578  0.901  0.740
In  0.730  0.730  0.230
In  0.901  0.578  0.740

For the formation energy, the calculation gives -0.507 eV per atom. For the density of states at the Fermi level, the calculation gives 7.72 states/eV/f.u.

No. 8
Here is a relaxed NaSc2Co crystal from Alexandria via LeMat-Bulk. Energies are from GGA-PBE.

Cell lengths 7.585, 7.585, 6.307 Å; angles 90.00, 90.00, 90.00 degrees
Fractional positions:
Na  0.000  0.000  0.000
Na  0.000  0.500  0.250
Na  0.500  0.000  0.750
Na  0.500  0.500  0.500
Sc  0.168  0.750  0.625
Sc  0.250  0.168  0.375
Sc  0.250  0.332  0.875
Sc  0.332  0.750  0.125
Sc  0.668  0.250  0.125
Sc  0.750  0.668  0.875
Sc  0.750  0.832  0.375
Sc  0.832  0.250  0.625
Co  0.000  0.000  0.500
Co  0.000  0.500  0.750
Co  0.500  0.000  0.250
Co  0.500  0.500  0.000

For the formation energy, the calculation gives 0.347 eV per atom. For the excess energy over the best structure of this formula in the dataset, the calculation gives 287.1 meV per atom. For the density of states at the Fermi level, the calculation gives 2.84 states/eV/f.u.

No. 9
Here is a relaxed Dy4Er2Tm5 crystal from Alexandria via LeMat-Bulk. Energies are from GGA-PBE.

Cell lengths 10.781, 10.781, 9.062 Å; angles 102.37, 102.37, 19.26 degrees
Fractional positions:
Dy  0.027  0.027  0.201
Dy  0.329  0.329  0.583
Dy  0.671  0.671  0.417
Dy  0.973  0.973  0.799
Er  0.385  0.385  0.994
Er  0.615  0.615  0.006
Tm  0.118  0.118  0.696
Tm  0.250  0.250  0.170
Tm  0.500  0.500  0.500
Tm  0.750  0.750  0.830
Tm  0.882  0.882  0.304

For the formation energy, the calculation gives 0.058 eV per atom. For the density of states at the Fermi level, the calculation gives 17.41 states/eV/f.u.

No. 10
Here is a relaxed Dy13In2 crystal from Alexandria via LeMat-Bulk. Energies are from GGA-PBE.

Cell lengths 6.680, 8.556, 8.884 Å; angles 66.63, 79.32, 82.52 degrees
Fractional positions:
Dy  0.000  0.000  0.000
Dy  0.121  0.482  0.738
Dy  0.200  0.226  0.156
Dy  0.257  0.937  0.583
Dy  0.304  0.653  0.976
Dy  0.366  0.412  0.392
Dy  0.488  0.145  0.795
Dy  0.512  0.855  0.205
Dy  0.634  0.588  0.608
Dy  0.696  0.347  0.024
Dy  0.743  0.063  0.417
Dy  0.800  0.774  0.844
Dy  0.879  0.518  0.262
In  0.059  0.769  0.380
In  0.941  0.231  0.620

For the formation energy, the calculation gives -0.095 eV per atom. For the density of states at the Fermi level, the calculation gives 22.12 states/eV/f.u.

No. 11
Here is a relaxed TlCr5 crystal from Alexandria via LeMat-Bulk. Energies are from GGA-PBE.

Cell lengths 2.961, 2.961, 9.689 Å; angles 90.00, 90.00, 90.00 degrees
Fractional positions:
Tl  0.000  0.000  0.000
Cr  0.000  0.000  0.350
Cr  0.000  0.000  0.650
Cr  0.500  0.500  0.214
Cr  0.500  0.500  0.500
Cr  0.500  0.500  0.786

For the formation energy, the calculation gives 0.303 eV per atom. For the excess energy over the best structure of this formula in the dataset, the calculation gives 0.0 meV per atom. For the density of states at the Fermi level, the calculation gives 3.16 states/eV/f.u.

No. 12
Here is a relaxed Pr2ZnO crystal from Alexandria via LeMat-Bulk. Energies are from GGA-PBE.

Cell lengths 3.691, 3.691, 26.561 Å; angles 90.00, 90.00, 120.00 degrees
Fractional positions:
Pr  0.000  0.000  0.116
Pr  0.000  0.000  0.884
Pr  0.333  0.667  0.551
Pr  0.333  0.667  0.782
Pr  0.667  0.333  0.218
Pr  0.667  0.333  0.449
Zn  0.000  0.000  0.000
Zn  0.333  0.667  0.667
Zn  0.667  0.333  0.333
O  0.000  0.000  0.500
O  0.333  0.667  0.167
O  0.667  0.333  0.833

The uncorrected formation energy comes out at -995 meV/atom. For the density of states at the Fermi level, the calculation gives 2.24 states/eV/f.u.